This record from the Alexandria database describes Fe2NiPb after structural relaxation. The functional is PBEsol.

Unit cell a=4.4933 b=4.4933 c=4.4933 alpha=128.15 beta=128.15 gamma=76.38
Closest atoms and distances in Å follow each position.
Positions (direct):
Fe1 0.0000 0.0000 0.0000  4 Fe 2.64, 4 Ni 2.64, 4 Pb 2.78
Fe2 0.7500 0.2500 0.5000  4 Fe 2.64, 4 Pb 2.64, 4 Ni 2.78
Ni1 0.2500 0.7500 0.5000  8 Fe 2.64-2.78, 4 Pb 2.64
Pb1 0.5000 0.5000 0.0000  8 Fe 2.64-2.78, 4 Ni 2.64

## Properties
Formation energy from the elements in eV/atom: 0.35
Electronic total energy in eV/atom: -6.670
Density in g/cm3: 11.50